(1)
Entry from the Alexandria database: a relaxed structure of ZnOs2Au (GGA-PBEsol).

a b c (Å): 2.7826 2.7826 7.5709
angles (deg): 90.00 90.00 90.00
Last column: nearest neighbours and their distance in Å.
Atoms (fractional coordinates):
1 Zn 0.0000 0.0000 0.0000  4 Os 2.72, 4 Au 2.75, 4 Zn 2.78
2 Os 0.0000 0.0000 0.5342  8 Os 2.57-2.78
3 Os 0.5000 0.5000 0.7528  8 Os 2.57-2.78, 4 Zn 2.72
4 Au 0.5000 0.5000 0.2542  4 Zn 2.75, 4 Au 2.78, 4 Os 2.89

## Properties
N(E_F), states/eV per atom: 0.53
E, eV per atom: -7.37
Total moment, μB per atom: 0.000

---

(2)
Entry from the Alexandria database: a relaxed structure of ZnOs2Au (GGA-PBEsol).

a b c (Å): 5.4391 5.4391 2.7462
angles (deg): 104.29 104.29 121.82
Last column: nearest neighbours and their distance in Å.
Atoms (fractional coordinates):
1 Zn 0.0000 0.0000 0.0000  4 Au 2.64-2.68, 4 Os 2.73, 2 Zn 2.75
2 Os 0.0000 0.5000 0.5000  6 Os 2.64-2.75, 2 Zn 2.73, 2 Au 2.73
3 Os 0.5000 0.0000 0.5000  6 Os 2.64-2.75, 2 Zn 2.73, 2 Au 2.73
4 Au 0.5000 0.5000 0.0000  4 Zn 2.64-2.68, 4 Os 2.73, 2 Au 2.75

## Properties
N(E_F), states/eV per atom: 0.96
E, eV per atom: -6.97
Total moment, μB per atom: 0.000

---

(3)
Entry from the Alexandria database: a relaxed structure of ZnOs2Au (GGA-PBEsol).

a b c (Å): 5.1728 5.1728 5.1728
angles (deg): 147.46 127.90 62.78
Last column: nearest neighbours and their distance in Å.
Atoms (fractional coordinates):
1 Zn 0.0000 0.0000 0.0000  2 Au 2.59, 6 Os 2.61-2.70, 2 Zn 2.90
2 Os 0.5121 0.5121 0.0000  2 Os 2.58, 4 Zn 2.70, 2 Au 2.78
3 Os 0.7543 0.2543 0.5000  2 Os 2.58, 2 Zn 2.61, 4 Au 2.70
4 Au 0.2429 0.7429 0.5000  2 Zn 2.59, 6 Os 2.70-2.78, 2 Au 2.90

## Properties
N(E_F), states/eV per atom: 0.72
E, eV per atom: -6.99
Total moment, μB per atom: 0.000

---

(4)
Entry from the Alexandria database: a relaxed structure of ZnOsAu2 (GGA-PBEsol).

a b c (Å): 4.8552 4.8552 4.9609
angles (deg): 101.49 101.49 32.42
Last column: nearest neighbours and their distance in Å.
Atoms (fractional coordinates):
1 Zn 0.0000 0.0000 0.0000  3 Os 2.65-2.89, 2 Zn 2.71, 7 Au 2.73-2.93
2 Os 0.7389 0.7389 0.2272  3 Zn 2.65-2.89, 2 Os 2.71, 7 Au 2.79-2.86
3 Au 0.2555 0.2555 0.7409  5 Au 2.71-2.86, 3 Zn 2.73-2.93, 4 Os 2.80-2.86
4 Au 0.4931 0.4931 0.4788  5 Au 2.71-2.86, 4 Zn 2.75-2.91, 3 Os 2.79-2.83

## Properties
N(E_F), states/eV per atom: 0.61
E, eV per atom: -5.11
Total moment, μB per atom: 0.000

---

(5)
Entry from the Alexandria database: a relaxed structure of Zr2OsAu (GGA-PBEsol).

a b c (Å): 9.2369 9.2369 9.2369
angles (deg): 19.35 19.35 19.35
Last column: nearest neighbours and their distance in Å.
Atoms (fractional coordinates):
1 Zr 0.0000 0.0000 0.0000  3 Au 2.87, 9 Zr 3.10-3.18
2 Zr 0.2366 0.2366 0.2366  3 Os 2.65
3 Os 0.4981 0.4981 0.4981  3 Zr 2.65, 3 Au 2.86
4 Au 0.7493 0.7493 0.7493  3 Os 2.86, 3 Zr 2.87, 6 Au 3.10

## Properties
N(E_F), states/eV per atom: 0.94
E, eV per atom: -8.42
Total moment, μB per atom: 0.000

---

(6)
Entry from the Alexandria database: a relaxed structure of Zr2OsAu (GGA-PBEsol).

a b c (Å): 3.2018 3.2018 7.1216
angles (deg): 90.00 90.00 90.00
Last column: nearest neighbours and their distance in Å.
Atoms (fractional coordinates):
1 Zr 0.0000 0.0000 0.2318  4 Os 2.80, 4 Au 2.96
2 Zr 0.0000 0.0000 0.7682  4 Os 2.80, 4 Au 2.96
3 Os 0.5000 0.5000 0.0000  8 Zr 2.80
4 Au 0.5000 0.5000 0.5000  8 Zr 2.96, 4 Au 3.20

## Properties
N(E_F), states/eV per atom: 0.81
E, eV per atom: -9.10
Total moment, μB per atom: 0.000

---

(7)
Entry from the Alexandria database: a relaxed structure of ZrOsAu2 (GGA-PBEsol).

a b c (Å): 9.7317 9.7317 9.7317
angles (deg): 16.77 16.77 16.77
Last column: nearest neighbours and their distance in Å.
Atoms (fractional coordinates):
1 Zr 0.0000 0.0000 0.0000  6 Zr 2.84, 6 Au 2.99
2 Os 0.5000 0.5000 0.5000  6 Au 2.82, 6 Os 2.84
3 Au 0.2465 0.2465 0.2465  3 Os 2.82, 6 Au 2.84, 3 Zr 2.99
4 Au 0.7535 0.7535 0.7535  3 Os 2.82, 6 Au 2.84, 3 Zr 2.99

## Properties
N(E_F), states/eV per atom: 0.71
E, eV per atom: -7.06
Total moment, μB per atom: 0.000

---

(8)
Entry from the Alexandria database: a relaxed structure of Zr2OsAu (GGA-PBEsol).

a b c (Å): 3.2593 4.4631 5.2456
angles (deg): 90.00 103.25 90.00
Last column: nearest neighbours and their distance in Å.
Atoms (fractional coordinates):
1 Zr 0.0000 0.0000 0.0000  3 Os 2.68-2.97, 4 Au 2.83
2 Zr 0.2259 0.5000 0.5763  3 Au 2.78-2.88, 4 Os 2.80-2.81
3 Os 0.6882 0.0000 0.4809  7 Zr 2.68-2.97, 2 Au 2.91
4 Au 0.5427 0.5000 0.1165  7 Zr 2.78-2.88, 2 Os 2.91

## Properties
N(E_F), states/eV per atom: 0.61
E, eV per atom: -9.05
Total moment, μB per atom: 0.000

---

(9)
Entry from the Alexandria database: a relaxed structure of ZrOs2Au (GGA-PBEsol).

a b c (Å): 3.9978 3.9978 3.9497
angles (deg): 90.00 90.00 90.00
Last column: nearest neighbours and their distance in Å.
Atoms (fractional coordinates):
1 Zr 0.0000 0.0000 0.0000  8 Os 2.81, 4 Au 2.83
2 Os 0.0000 0.5000 0.5000  4 Zr 2.81, 4 Au 2.81, 4 Os 2.83
3 Os 0.5000 0.0000 0.5000  4 Zr 2.81, 4 Au 2.81, 4 Os 2.83
4 Au 0.5000 0.5000 0.0000  8 Os 2.81, 4 Zr 2.83

## Properties
N(E_F), states/eV per atom: 0.78
E, eV per atom: -9.48
Total moment, μB per atom: 0.000

---

(10)
Entry from the Alexandria database: a relaxed structure of P5Au (GGA-PBEsol).

a b c (Å): 5.6270 5.6270 5.0156
angles (deg): 91.78 91.78 35.71
Last column: nearest neighbours and their distance in Å.
Atoms (fractional coordinates):
1 P 0.0000 0.0000 0.0000  2 Au 2.51, 4 P 2.51
2 P 0.3255 0.3255 0.5287  3 P 2.25-2.38
3 P 0.3297 0.3297 0.9769  5 P 2.25-2.51
4 P 0.6703 0.6703 0.0231  5 P 2.25-2.51
5 P 0.6745 0.6745 0.4713  3 P 2.25-2.38
6 Au 0.0000 0.0000 0.5000  6 P 2.51-2.55

## Properties
N(E_F), states/eV per atom: 0.25
E, eV per atom: -5.46
Total moment, μB per atom: 0.000

---

(11)
Entry from the Alexandria database: a relaxed structure of PAu (GGA-PBEsol).

a b c (Å): 6.2964 6.2964 6.2964
angles (deg): 151.08 145.97 45.25
Last column: nearest neighbours and their distance in Å.
Atoms (fractional coordinates):
1 P 0.4277 0.1777 0.2500  2 P 2.30
2 P 0.5723 0.8223 0.7500  2 P 2.30
3 Au 0.1600 0.4100 0.7500  4 P 2.63, 2 Au 2.79
4 Au 0.8400 0.5900 0.2500  4 P 2.63, 2 Au 2.79

## Properties
Distance to the lowest polymorph of the same formula, eV/atom: 0.329
N(E_F), states/eV per atom: 0.39
E, eV per atom: -4.60
Total moment, μB per atom: 0.000

---

(12)
Entry from the Alexandria database: a relaxed structure of PAu (GGA-PBEsol).

a b c (Å): 2.7172 2.7172 8.9879
angles (deg): 90.00 90.00 90.00
Last column: nearest neighbours and their distance in Å.
Atoms (fractional coordinates):
1 P 0.2500 0.2500 0.1447  4 P 2.72, 4 Au 2.80
2 P 0.7500 0.7500 0.8553  4 P 2.72, 4 Au 2.80
3 Au 0.2500 0.2500 0.6293  8 Au 2.72-3.02, 4 P 2.80
4 Au 0.7500 0.7500 0.3707  8 Au 2.72-3.02, 4 P 2.80

## Properties
Distance to the lowest polymorph of the same formula, eV/atom: 0.490
N(E_F), states/eV per atom: 0.37
E, eV per atom: -4.43
Total moment, μB per atom: 0.000

---

- total moment of number 11 (PAu)?
  0.000 μB per atom

---

- Look up the E of the twelfth one.
  -4.43 eV per atom